ZrNiS2 | meta-GGA SCAN | PBEsol geometry

abc: 3.266 3.266 7.728
angles: 77.80 77.80 60.00
Positions (direct):
Ni  0.500  0.500  0.500
S  0.112  0.112  0.665
S  0.888  0.888  0.335
Zr  0.000  0.000  0.000

Results
The calculation puts the formation energy from raw total energies at -0.41 eV per atom.